## ErNi2BiO6 (PBE+U)

Data for an optimized crystal structure of ErNi2BiO6.

POSCAR file:
```
ErNi2BiO6
1.0
5.417 -0.004 0.004
2.712 4.689 0.007
2.705 1.556 4.845
Er Ni Bi O
1 2 1 6
direct
0.806 0.806 0.583
0.518 0.518 0.445
0.017 0.017 0.950
0.314 0.314 0.057
0.621 0.230 0.243
0.230 0.906 0.243
0.906 0.621 0.243
0.387 0.725 0.751
0.725 0.138 0.751
0.138 0.387 0.751
```

Its volume is 12.30 Å³ per atom. The final energy is -0.439 Ry per atom.